Entry 1:
Computed, not measured: crystalline TlGe2Br6 at its relaxed geometry at the GGA-PBE level of DFT.

Output
formation energy without anion corrections = -583 meV per atom
total magnetic moment = 0.0 μB per formula unit
D(E_F) = 12.68 states/eV per cell
total energy = -26.88 eV/f.u.

Cell: 15.3659 12.1341 9.8074 Å, 90.00 119.28 90.00°
With the nearest neighbours (Å) after each atom.
Space group C2/c (No. 15)
Asymmetric unit:
Tl: 0.0000 0.0913 0.2500  6 Br 3.33-3.44
Ge: 0.2002 0.4279 0.2138  4 Br 2.44-2.66
Br: 0.1187 0.1079 0.6514  1 Ge 2.47
Br: 0.1393 0.2393 0.1427  1 Ge 2.44
Br: 0.1697 0.4874 0.4480  2 Ge 2.62-2.66

---

Entry 2:
Computed, not measured: crystalline BrOF4 at its relaxed geometry at the GGA-PBE level of DFT.

Output
formation energy without anion corrections = -277 meV per atom
total magnetic moment = 3.0 μB per formula unit
D(E_F) = 4.58 states/eV per cell
total energy = -15.78 eV/f.u.

Cell: 12.8805 7.3333 4.3247 Å, 90.00 100.29 90.00°
With the nearest neighbours (Å) after each atom.
Space group C2/c (No. 15)
Asymmetric unit:
Br: 0.2500 0.2500 0.0000  4 F 1.86-1.90
O: 0.0000 0.0660 0.2500  2 O 2.37, 2 F 2.37
F: 0.1204 0.3456 0.8133  1 Br 1.86
F: 0.1834 0.1222 0.2933  1 Br 1.90

---

Entry 3:
Computed, not measured: crystalline PmY2Sb at its relaxed geometry at the GGA-PBE level of DFT.

Output
formation energy without anion corrections = -592 meV per atom
total magnetic moment = 0.9 μB per formula unit
energy above the most stable polymorph in this dataset = 0 meV per atom
D(E_F) = 23.02 states/eV per cell
total energy = -24.17 eV/f.u.

Cell: 4.1548 12.4102 9.5914 Å, 90.00 90.00 90.00°
With the nearest neighbours (Å) after each atom.
Space group Cmcm (No. 63)
Asymmetric unit:
Pm: 0.0000 0.0580 0.2500  2 Sb 3.27, 4 Y 3.64
Y: 0.0000 0.3626 0.0442  3 Sb 3.13-3.21
Sb: 0.0000 0.2389 0.7500  6 Y 3.13-3.21, 2 Pm 3.27

---

Entry 4:
Computed, not measured: crystalline K5Rb12Ag2 at its relaxed geometry at the GGA-PBE level of DFT.

Output
total magnetic moment = 0.0 μB per formula unit
D(E_F) = 30.35 states/eV per cell
total energy = -22.01 eV/f.u.
energy of formation = 0.04 eV/atom

Cell: 24.9354 9.2963 12.4626 Å, 90.00 91.02 90.00°
With the nearest neighbours (Å) after each atom.
Space group C2/m (No. 12)
Asymmetric unit:
K: 0.0000 0.0000 0.0000  6 Rb 4.25-4.52
K: 0.2140 0.0000 0.7245  2 K 4.65, 9 Rb 4.67-4.94
K: 0.2166 0.5000 0.7212  2 K 4.65, 9 Rb 4.74-4.95
Rb: 0.0213 0.5000 0.7694  2 Ag 3.68
Rb: 0.0286 0.0000 0.6645  2 Ag 3.88, 1 K 4.25, 1 Rb 4.32
Rb: 0.1343 0.2608 0.4252  1 Ag 3.58
Rb: 0.1537 0.2538 0.0404  5 K 4.52-4.95, 4 Rb 4.58-4.93
Ag: 0.0000 0.3470 0.5000  1 Ag 2.85

---

Entry 5:
Computed, not measured: crystalline NaPdN2 at its relaxed geometry at the GGA-PBE level of DFT.

Output
formation energy without anion corrections = 863 meV per atom
total magnetic moment = 0.0 μB per formula unit
energy above the most stable polymorph in this dataset = 850 meV per atom
D(E_F) = 9.00 states/eV per cell
total energy = -19.71 eV/f.u.

Cell: 5.7369 5.7369 7.0578 Å, 90.00 90.00 90.00°
With the nearest neighbours (Å) after each atom.
Space group I-42d (No. 122)
Asymmetric unit:
Na: 0.0000 0.0000 0.0000  4 N 2.53
Pd: 0.0000 0.0000 0.5000  4 N 1.95
N: 0.1709 0.2500 0.6250  2 Pd 1.95

---

Entry 6:
Computed, not measured: crystalline UPaBi at its relaxed geometry at the GGA-PBE level of DFT.

Output
total magnetic moment = 3.2 μB per formula unit
energy above the most stable polymorph in this dataset = 324 meV per atom
D(E_F) = 7.79 states/eV per cell
total energy = -23.61 eV/f.u.
energy of formation = 0.35 eV/atom

Cell: 5.1784 5.1784 3.2627 Å, 90.00 90.00 120.00°
With the nearest neighbours (Å) after each atom.
Space group P-6m2 (No. 187)
Asymmetric unit:
U: 0.0000 0.0000 0.0000  3 Pa 2.99, 2 U 3.26
Pa: 0.3333 0.6667 0.0000  3 U 2.99, 2 Pa 3.26
Bi: 0.6667 0.3333 0.5000  2 Bi 3.26, 6 U 3.41, 6 Pa 3.41

---

Entry 7:
Computed, not measured: crystalline La2CeI2N2 at its relaxed geometry at the GGA-PBE level of DFT.

Output
formation energy without anion corrections = -1260 meV per atom
total magnetic moment = 1.5 μB per formula unit
D(E_F) = 10.31 states/eV per cell
total energy = -44.36 eV/f.u.

Cell: 4.5582 4.5582 19.3187 Å, 90.00 90.00 90.00°
With the nearest neighbours (Å) after each atom.
Space group I4/mmm (No. 139)
Asymmetric unit:
La: 0.0000 0.0000 0.0803  4 N 2.76
Ce: 0.0000 0.0000 0.5000  4 N 2.28
I: 0.0000 0.0000 0.3309  1 Ce 3.27, 4 La 3.65
N: 0.0000 0.5000 0.0000  2 Ce 2.28

---

Entry 8:
Computed, not measured: crystalline Sc2B2Mo at its relaxed geometry at the GGA-PBE level of DFT.

Output
total magnetic moment = 0.6 μB per formula unit
D(E_F) = 9.72 states/eV per cell
total energy = -38.18 eV/f.u.
energy of formation = -0.27 eV/atom

Cell: 6.2018 6.2018 3.5290 Å, 90.00 90.00 90.00°
With the nearest neighbours (Å) after each atom.
Space group P4/mbm (No. 127)
Asymmetric unit:
Sc: 0.1864 0.3136 0.0000  6 B 2.56-2.58
B: 0.0993 0.5993 0.5000  1 B 1.74
Mo: 0.0000 0.0000 0.5000  4 B 2.56

---

Entry 9:
Computed, not measured: crystalline La2SeBr at its relaxed geometry at the GGA-PBE level of DFT.

Output
formation energy without anion corrections = -1615 meV per atom
total magnetic moment = 0.0 μB per formula unit
energy above the most stable polymorph in this dataset = 27 meV per atom
D(E_F) = 2.90 states/eV per cell
total energy = -21.47 eV/f.u.

Cell: 4.3058 6.0968 4.3154 Å, 90.00 90.00 90.00°
With the nearest neighbours (Å) after each atom.
Space group Pmm2 (No. 25)
Asymmetric unit:
La: 0.0000 0.0000 0.0000  4 Br 3.05, 2 Se 3.05
La: 0.5000 0.5000 0.4989  4 Se 3.05, 2 Br 3.05
Se: 0.0000 0.5000 0.9989  6 La 3.05
Br: 0.5000 0.0000 0.5000  6 La 3.05

---

Entry 10:
Computed, not measured: crystalline Pm8Bi3Te4Pb at its relaxed geometry at the GGA-PBE level of DFT.

Output
formation energy without anion corrections = -1157 meV per atom
total magnetic moment = 0.0 μB per formula unit
D(E_F) = 19.70 states/eV per cell
total energy = -84.44 eV/f.u.

Cell: 9.0733 9.0733 22.0946 Å, 90.00 90.00 120.00°
With the nearest neighbours (Å) after each atom.
Space group R-3m (No. 166, hexagonal axes)
Asymmetric unit:
Pm: 0.0000 0.0000 0.2493  3 Bi 3.19, 3 Te 3.21
Pm: 0.0036 0.5018 0.2486  1 Pb 3.16, 2 Bi 3.20, 3 Te 3.21-3.24
Bi: 0.0000 0.5000 0.5000  6 Pm 3.19-3.20
Te: 0.0000 0.0000 0.0000  6 Pm 3.24
Te: 0.0000 0.5000 0.0000  6 Pm 3.21
Pb: 0.0000 0.0000 0.5000  6 Pm 3.16

---

Entry 11:
Computed, not measured: crystalline NaGaPb at its relaxed geometry at the GGA-PBE level of DFT.

Output
total magnetic moment = 0.0 μB per formula unit
D(E_F) = 1.05 states/eV per cell
total energy = -8.31 eV/f.u.
energy of formation = -0.09 eV/atom

Cell: 4.8160 4.8160 7.8250 Å, 90.00 90.00 120.00°
With the nearest neighbours (Å) after each atom.
Space group P6_3mc (No. 186)
Asymmetric unit:
Na: 0.0000 0.0000 0.0000  3 Ga 3.10, 3 Pb 3.24
Ga: 0.3333 0.6667 0.3249  4 Pb 2.91-3.04, 3 Na 3.10
Pb: 0.3333 0.6667 0.7134  4 Ga 2.91-3.04, 3 Na 3.24

---

Entry 12:
Computed, not measured: crystalline TlInAu10 at its relaxed geometry at the GGA-PBE level of DFT.

Output
total magnetic moment = 0.0 μB per formula unit
D(E_F) = 4.58 states/eV per cell
total energy = -37.84 eV/f.u.
energy of formation = 0.00 eV/atom

Cell: 4.7180 5.6468 9.6776 Å, 90.00 90.00 90.00°
With the nearest neighbours (Å) after each atom.
Space group Pmmm (No. 47)
Asymmetric unit:
Tl: 0.0000 0.0000 0.0000  6 Au 3.26-3.29
In: 0.0000 0.5000 0.5000  6 Au 3.14-3.23
Au: 0.0000 0.0000 0.3371  7 Au 2.84-3.15
Au: 0.0000 0.5000 0.1753  6 Au 2.84-2.91, 1 In 3.14
Au: 0.5000 0.0000 0.5000  8 Au 2.79-2.84
Au: 0.5000 0.2502 0.2511  8 Au 2.79-2.87
Au: 0.5000 0.5000 0.0000  8 Au 2.81-2.91

---

Entry 13:
Computed, not measured: crystalline HoErMgAg at its relaxed geometry at the GGA-PBE level of DFT.

Output
total magnetic moment = 0.0 μB per formula unit
energy above the most stable polymorph in this dataset = 0 meV per atom
D(E_F) = 3.85 states/eV per cell
total energy = -14.34 eV/f.u.
energy of formation = -0.19 eV/atom

Cell: 3.7045 3.7045 7.2730 Å, 90.00 90.00 90.00°
With the nearest neighbours (Å) after each atom.
Space group P4mm (No. 99)
Asymmetric unit:
Ho: 0.0000 0.0000 0.0000  4 Ag 3.16, 4 Mg 3.24, 1 Er 3.49
Er: 0.0000 0.0000 0.4804  4 Ag 3.14, 4 Mg 3.22, 1 Ho 3.49
Mg: 0.5000 0.5000 0.7389  4 Er 3.22, 4 Ho 3.24, 1 Ag 3.61
Ag: 0.5000 0.5000 0.2426  4 Er 3.14, 4 Ho 3.16

---

Entry 14:
Computed, not measured: crystalline Y4CoRu at its relaxed geometry at the GGA-PBE level of DFT.

Output
total magnetic moment = 0.0 μB per formula unit
energy above the most stable polymorph in this dataset = 0 meV per atom
D(E_F) = 23.40 states/eV per cell
total energy = -43.62 eV/f.u.
energy of formation = -0.23 eV/atom

Cell: 8.8567 13.0554 6.1652 Å, 90.00 124.47 90.00°
With the nearest neighbours (Å) after each atom.
Space group C2/c (No. 15)
Asymmetric unit:
Y: 0.1311 0.1796 0.1002  2 Ru 2.91-3.00, 2 Co 2.95-2.98
Y: 0.1994 0.4387 0.2720  2 Co 2.74-2.86, 2 Ru 2.82-3.07
Co: 0.0000 0.0002 0.2500  8 Y 2.74-2.98
Ru: 0.0000 0.3649 0.7500  8 Y 2.82-3.07

---

Entry 15:
Computed, not measured: crystalline Li3HfSc3S8 at its relaxed geometry at the GGA-PBE level of DFT.

Output
formation energy without anion corrections = -1734 meV per atom
total magnetic moment = 0.0 μB per formula unit
total energy = -93.72 eV/f.u.

Cell: 7.3764 7.3764 18.3959 Å, 90.00 90.00 120.00°
With the nearest neighbours (Å) after each atom.
Space group R-3m (No. 166, hexagonal axes)
Asymmetric unit:
Li: 0.0000 0.5000 0.0000  6 S 2.66
Hf: 0.0000 0.0000 0.5000  6 S 2.55
Sc: 0.0000 0.5000 0.5000  6 S 2.59
S: 0.0000 0.0000 0.2465  3 Sc 2.59, 3 Li 2.66
S: 0.0046 0.5023 0.2456  1 Hf 2.55, 2 Sc 2.59, 2 Li 2.66

---

Entry 16:
Computed, not measured: crystalline ZrCoNi2 at its relaxed geometry at the GGA-PBE level of DFT.

Output
total magnetic moment = 2.5 μB per formula unit
D(E_F) = 16.49 states/eV per cell
total energy = -26.15 eV/f.u.
energy of formation = 0.27 eV/atom

Cell: 2.7296 2.7296 25.8292 Å, 90.00 90.00 120.00°
With the nearest neighbours (Å) after each atom.
Space group R3m (No. 160, hexagonal axes)
Asymmetric unit:
Zr: 0.0000 0.0000 0.0000  6 Zr 2.73, 3 Ni 2.81, 3 Co 2.90
Co: 0.0000 0.0000 0.2390  3 Ni 2.45, 6 Co 2.73
Ni: 0.0000 0.0000 0.4995  3 Co 2.45, 9 Ni 2.52-2.73
Ni: 0.0000 0.0000 0.7569  9 Ni 2.52-2.73, 3 Zr 2.81

---

Entry 17:
Computed, not measured: crystalline Tb5Y12Sc at its relaxed geometry at the GGA-PBE level of DFT.

Output
total magnetic moment = 0.0 μB per formula unit
D(E_F) = 53.74 states/eV per cell
total energy = -106.53 eV/f.u.
energy of formation = 0.03 eV/atom

Cell: 15.0553 15.0837 5.0242 Å, 90.00 90.00 90.00°
With the nearest neighbours (Å) after each atom.
Space group Cmmm (No. 65)
Asymmetric unit:
Tb: 0.0000 0.0000 0.0000  8 Y 3.55, 4 Tb 3.56
Tb: 0.0000 0.1668 0.5000  8 Y 3.54-3.55, 4 Tb 3.56-3.57
Tb: 0.0000 0.3353 0.0000  8 Y 3.49-3.57, 2 Sc 3.53, 2 Tb 3.57
Y: 0.1633 0.5000 0.0000  2 Tb 3.49, 2 Sc 3.51, 8 Y 3.54-3.60
Y: 0.1643 0.3351 0.5000  1 Sc 3.51, 3 Tb 3.53-3.54, 8 Y 3.54-3.64
Y: 0.1663 0.0000 0.5000  4 Tb 3.55, 8 Y 3.56-3.59
Y: 0.1665 0.1672 0.0000  8 Y 3.55-3.60, 4 Tb 3.55-3.57
Sc: 0.0000 0.5000 0.5000  8 Y 3.51, 4 Tb 3.53

---

Entry 18:
Computed, not measured: crystalline Li2MgTa at its relaxed geometry at the GGA-PBE level of DFT.

Output
total magnetic moment = 0.0 μB per formula unit
D(E_F) = 12.51 states/eV per cell
total energy = -13.72 eV/f.u.
energy of formation = 0.89 eV/atom

Cell: 7.0763 7.0763 5.6748 Å, 90.00 90.00 90.00°
With the nearest neighbours (Å) after each atom.
Space group I-42d (No. 122)
Asymmetric unit:
Li: 0.2366 0.2500 0.1250  2 Mg 2.54, 2 Ta 2.67
Mg: 0.0000 0.0000 0.0000  4 Li 2.54, 2 Ta 2.84
Ta: 0.0000 0.0000 0.5000  4 Li 2.67, 2 Mg 2.84

---

Entry 19:
Computed, not measured: crystalline CsScIn2Br6 at its relaxed geometry at the GGA-PBE level of DFT.

Output
formation energy without anion corrections = -1321 meV per atom
total magnetic moment = 0.0 μB per formula unit
D(E_F) = 0.00 states/eV per cell
total energy = -35.91 eV/f.u.

Cell: 7.5190 9.1854 13.2245 Å, 90.00 121.66 90.00°
With the nearest neighbours (Å) after each atom.
Space group P2_1/c (No. 14)
Asymmetric unit:
Cs: 0.0000 0.0000 0.0000  6 Br 3.54-3.88
Sc: 0.5000 0.0000 0.5000  6 Br 2.68
In: 0.2011 0.0502 0.7166  5 Br 3.18-3.42
Br: 0.1756 0.1495 0.4793  1 Sc 2.68
Br: 0.2413 0.7227 0.8843  1 Sc 2.68
Br: 0.4275 0.1127 0.2951  1 Sc 2.68

---

Entry 20:
Computed, not measured: crystalline ZrInSN2 at its relaxed geometry at the GGA-PBE level of DFT.

Output
formation energy without anion corrections = 130 meV per atom
total magnetic moment = 0.7 μB per formula unit
energy above the most stable polymorph in this dataset = 0 meV per atom
D(E_F) = 2.26 states/eV per cell
total energy = -31.42 eV/f.u.

Cell: 4.1430 4.1430 5.4134 Å, 90.00 90.00 90.00°
With the nearest neighbours (Å) after each atom.
Space group P4/mmm (No. 123)
Asymmetric unit:
Zr: 0.0000 0.0000 0.0000  4 N 2.07
In: 0.5000 0.5000 0.5000  4 S 2.93
S: 0.0000 0.0000 0.5000  2 Zr 2.71, 4 In 2.93
N: 0.0000 0.5000 0.0000  2 Zr 2.07